Below is a relaxed Nb3AsIr crystal, with properties calculated at the PBE level.

a b c (Å): 4.662 4.662 4.662
angles (deg): 90.00 90.00 90.00
Positions (direct):
As (0.000, 0.000, 0.000)
Ir (0.500, 0.500, 0.500)
Nb (0.000, 0.500, 0.000)
Nb (0.000, 0.000, 0.500)
Nb (0.500, 0.000, 0.000)

Summary:
- E above lowest polymorph (eV/atom) = 0.000
- DFT total energy (eV/atom) = -7.9316
- energy of formation from the pure elements (eV per atom) = 0.812

Below is a relaxed Ca2NiIr crystal, with properties calculated at the PBE level.

a b c (Å): 4.805 4.805 3.454
angles (deg): 90.00 90.00 90.00
Positions (direct):
Ni (0.000, 0.500, 0.500)
Ca (0.500, 0.500, 0.000)
Ca (0.000, 0.000, 0.000)
Ir (0.500, 0.000, 0.500)

Summary:
- DFT total energy (eV/atom) = -4.7069
- energy of formation from the pure elements (eV per atom) = -0.046

Below is a relaxed RbLaPd crystal, with properties calculated at the PBE level.

a b c (Å): 4.259 4.260 14.302
angles (deg): 90.00 89.91 90.00
Positions (direct):
La (0.751, 0.250, 0.905)
La (0.249, 0.750, 0.095)
Pd (0.251, 0.750, 0.890)
Pd (0.749, 0.250, 0.110)
Rb (0.253, 0.751, 0.650)
Rb (0.747, 0.249, 0.350)

Summary:
- DFT total energy (eV/atom) = -4.1149
- energy of formation from the pure elements (eV per atom) = -0.419

Below is a relaxed PrErZnOs crystal, with properties calculated at the PBE level.

a b c (Å): 4.995 4.995 4.995
angles (deg): 60.00 60.00 60.00
Positions (direct):
Os (0.250, 0.250, 0.250)
Zn (0.750, 0.750, 0.750)
Er (0.000, 0.000, 0.000)
Pr (0.500, 0.500, 0.500)

Summary:
- DFT total energy (eV/atom) = -5.6278
- energy of formation from the pure elements (eV per atom) = -0.166